No. 1
# CrRhOF2 (GGA-PBEsol, optimized geometry)
# energy above the most stable polymorph in this dataset	0	meV/atom
# E_form (uncorrected)	-878	meV per atom
data_CrRhOF2
_symmetry_space_group_name_H-M 'P 1'
_symmetry_Int_Tables_number 1
_symmetry_space_group_name_Hall 'P 1'
_cell_length_a 3.687
_cell_length_b 3.945
_cell_length_c 3.945
_cell_angle_alpha 90.00
_cell_angle_beta 90.00
_cell_angle_gamma 90.00
loop_
_atom_site_label
_atom_site_fract_x
_atom_site_fract_y
_atom_site_fract_z
Cr1 0.000 0.000 0.000
F1 0.000 0.000 0.500
F2 0.000 0.500 0.000
Rh1 0.500 0.500 0.500
O1 0.500 0.000 0.000

No. 2
# CrWS2 (GGA-PBEsol, optimized geometry)
# E_form (uncorrected)	-188	meV per atom
data_CrWS2
_symmetry_space_group_name_H-M 'P 1'
_symmetry_Int_Tables_number 1
_symmetry_space_group_name_Hall 'P 1'
_cell_length_a 2.880
_cell_length_b 2.880
_cell_length_c 7.981
_cell_angle_alpha 79.61
_cell_angle_beta 79.61
_cell_angle_gamma 60.00
loop_
_atom_site_label
_atom_site_fract_x
_atom_site_fract_y
_atom_site_fract_z
S1 0.899 0.899 0.303
S2 0.101 0.101 0.697
W1 0.000 0.000 0.000
Cr1 0.500 0.500 0.500

No. 3
# LiNi3O3F (GGA-PBEsol, optimized geometry)
# E_form (uncorrected)	-1054	meV per atom
data_LiNi3O3F
_symmetry_space_group_name_H-M 'P 1'
_symmetry_Int_Tables_number 1
_symmetry_space_group_name_Hall 'P 1'
_cell_length_a 2.846
_cell_length_b 2.846
_cell_length_c 8.515
_cell_angle_alpha 90.00
_cell_angle_beta 90.00
_cell_angle_gamma 90.00
loop_
_atom_site_label
_atom_site_fract_x
_atom_site_fract_y
_atom_site_fract_z
Li1 0.000 0.000 0.500
O1 0.500 0.500 0.000
O2 0.000 0.000 0.754
O3 0.000 0.000 0.246
Ni1 0.500 0.500 0.243
Ni2 0.000 0.000 0.000
Ni3 0.500 0.500 0.757
F1 0.500 0.500 0.500

No. 4
# TlHF2 (GGA-PBEsol, optimized geometry)
# energy above the most stable polymorph in this dataset	1116	meV/atom
data_TlHF2
_symmetry_space_group_name_H-M 'P 1'
_symmetry_Int_Tables_number 1
_symmetry_space_group_name_Hall 'P 1'
_cell_length_a 2.926
_cell_length_b 2.926
_cell_length_c 6.595
_cell_angle_alpha 77.19
_cell_angle_beta 77.19
_cell_angle_gamma 60.00
loop_
_atom_site_label
_atom_site_fract_x
_atom_site_fract_y
_atom_site_fract_z
Tl1 0.000 0.000 0.000
F1 0.120 0.120 0.640
F2 0.880 0.880 0.360
H1 0.500 0.500 0.500

No. 5
# Ca2H2S2O9 (GGA-PBEsol, optimized geometry)
# E_tot	-6.46	eV per atom
data_Ca2H2S2O9
_symmetry_space_group_name_H-M 'P 1'
_symmetry_Int_Tables_number 1
_symmetry_space_group_name_Hall 'P 1'
_cell_length_a 6.889
_cell_length_b 9.382
_cell_length_c 9.327
_cell_angle_alpha 79.51
_cell_angle_beta 68.33
_cell_angle_gamma 68.46
loop_
_atom_site_label
_atom_site_fract_x
_atom_site_fract_y
_atom_site_fract_z
O1 0.349 0.830 0.428
O2 0.242 0.362 0.619
O3 0.222 0.638 0.381
O4 0.660 0.759 0.600
O5 0.889 0.616 0.751
O6 0.847 0.688 0.294
O7 0.126 0.250 0.119
O8 0.745 0.849 0.087
O9 0.256 0.384 0.249
O10 0.735 0.897 0.762
O11 0.086 0.633 0.030
O12 0.607 0.170 0.572
O13 0.680 0.151 0.913
O14 0.826 0.089 0.184
O15 0.744 0.584 0.120
O16 0.495 0.750 0.881
O17 0.393 0.103 0.238
O18 0.283 0.832 0.184
O19 0.311 0.094 0.574
O20 0.447 0.416 0.880
O21 0.748 0.367 0.970
O22 0.100 0.911 0.816
O23 0.829 0.312 0.706
O24 0.979 0.906 0.426
O25 0.019 0.241 0.400
O26 0.300 0.168 0.816
O27 0.614 0.500 0.500
H1 0.496 0.589 0.478
H2 0.778 0.118 0.093
H3 0.245 0.842 0.821
H4 0.989 0.882 0.907
H5 0.908 0.158 0.179
H6 0.564 0.411 0.522
S1 0.852 0.688 0.134
S2 0.208 0.803 0.356
S3 0.674 0.312 0.866
S4 0.367 0.197 0.644
S5 0.697 0.755 0.746
S6 0.199 0.245 0.254
Ca1 0.082 0.428 0.903
Ca2 0.963 0.054 0.619
Ca3 0.413 0.572 0.097
Ca4 0.444 0.000 0.000
Ca5 0.636 0.946 0.381
Ca6 0.951 0.500 0.500

No. 6
# CoCuS2Cl (GGA-PBEsol, optimized geometry)
# E_form (uncorrected)	420	meV per atom
data_CoCuS2Cl
_symmetry_space_group_name_H-M 'P 1'
_symmetry_Int_Tables_number 1
_symmetry_space_group_name_Hall 'P 1'
_cell_length_a 4.276
_cell_length_b 4.276
_cell_length_c 4.721
_cell_angle_alpha 90.00
_cell_angle_beta 90.00
_cell_angle_gamma 90.00
loop_
_atom_site_label
_atom_site_fract_x
_atom_site_fract_y
_atom_site_fract_z
Cu1 0.500 0.500 0.500
S1 0.000 0.500 0.000
S2 0.500 0.000 0.000
Cl1 0.000 0.000 0.500
Co1 0.000 0.000 0.000

No. 7
# Zr3Zn (GGA-PBEsol, optimized geometry)
# formation energy from the elements	-0.06	eV per atom
data_Zr3Zn
_symmetry_space_group_name_H-M 'P 1'
_symmetry_Int_Tables_number 1
_symmetry_space_group_name_Hall 'P 1'
_cell_length_a 3.170
_cell_length_b 4.976
_cell_length_c 5.868
_cell_angle_alpha 114.27
_cell_angle_beta 105.67
_cell_angle_gamma 90.00
loop_
_atom_site_label
_atom_site_fract_x
_atom_site_fract_y
_atom_site_fract_z
Zn1 0.000 0.000 0.000
Zr1 0.728 0.228 0.455
Zr2 0.272 0.772 0.545
Zr3 0.500 0.500 0.000

No. 8
# Na2LiSn2 (GGA-PBEsol, optimized geometry)
# formation energy from the elements	-0.03	eV per atom
data_Na2LiSn2
_symmetry_space_group_name_H-M 'P 1'
_symmetry_Int_Tables_number 1
_symmetry_space_group_name_Hall 'P 1'
_cell_length_a 4.266
_cell_length_b 4.266
_cell_length_c 7.947
_cell_angle_alpha 105.57
_cell_angle_beta 105.57
_cell_angle_gamma 90.00
loop_
_atom_site_label
_atom_site_fract_x
_atom_site_fract_y
_atom_site_fract_z
Sn1 0.407 0.407 0.813
Sn2 0.593 0.593 0.187
Na1 0.250 0.750 0.500
Na2 0.750 0.250 0.500
Li1 0.000 0.000 0.000

No. 9
# LiZnIn2 (GGA-PBEsol, optimized geometry)
# formation energy from the elements	-0.06	eV per atom
data_LiZnIn2
_symmetry_space_group_name_H-M 'P 1'
_symmetry_Int_Tables_number 1
_symmetry_space_group_name_Hall 'P 1'
_cell_length_a 3.080
_cell_length_b 3.080
_cell_length_c 8.410
_cell_angle_alpha 90.00
_cell_angle_beta 90.00
_cell_angle_gamma 90.00
loop_
_atom_site_label
_atom_site_fract_x
_atom_site_fract_y
_atom_site_fract_z
In1 0.000 0.000 0.972
In2 0.500 0.500 0.276
Zn1 0.500 0.500 0.725
Li1 0.000 0.000 0.526

No. 10
# FeReSi2 (GGA-PBEsol, optimized geometry)
# E_form (uncorrected)	-47	meV per atom
data_FeReSi2
_symmetry_space_group_name_H-M 'P 1'
_symmetry_Int_Tables_number 1
_symmetry_space_group_name_Hall 'P 1'
_cell_length_a 3.020
_cell_length_b 3.743
_cell_length_c 4.421
_cell_angle_alpha 90.00
_cell_angle_beta 90.00
_cell_angle_gamma 90.00
loop_
_atom_site_label
_atom_site_fract_x
_atom_site_fract_y
_atom_site_fract_z
Fe1 0.500 0.500 0.000
Re1 0.000 0.500 0.500
Si1 0.500 0.000 0.500
Si2 0.000 0.000 0.000

No. 11
# SiAsBr2O (GGA-PBEsol, optimized geometry)
# E_form (uncorrected)	581	meV per atom
data_SiAsBr2O
_symmetry_space_group_name_H-M 'P 1'
_symmetry_Int_Tables_number 1
_symmetry_space_group_name_Hall 'P 1'
_cell_length_a 4.213
_cell_length_b 4.765
_cell_length_c 4.765
_cell_angle_alpha 90.00
_cell_angle_beta 90.00
_cell_angle_gamma 90.00
loop_
_atom_site_label
_atom_site_fract_x
_atom_site_fract_y
_atom_site_fract_z
As1 0.500 0.000 0.000
Br1 0.000 0.500 0.000
Br2 0.000 0.000 0.500
O1 0.000 0.000 0.000
Si1 0.500 0.500 0.500

No. 12
# Mg2CoW (GGA-PBEsol, optimized geometry)
# formation energy from the elements	0.50	eV per atom
# energy above the most stable polymorph in this dataset	83	meV/atom
data_Mg2CoW
_symmetry_space_group_name_H-M 'P 1'
_symmetry_Int_Tables_number 1
_symmetry_space_group_name_Hall 'P 1'
_cell_length_a 4.372
_cell_length_b 4.372
_cell_length_c 4.372
_cell_angle_alpha 60.00
_cell_angle_beta 60.00
_cell_angle_gamma 60.00
loop_
_atom_site_label
_atom_site_fract_x
_atom_site_fract_y
_atom_site_fract_z
Mg1 0.250 0.250 0.250
Mg2 0.000 0.000 0.000
W1 0.750 0.750 0.750
Co1 0.500 0.500 0.500

No. 13
# DyNbO4 (GGA-PBEsol, optimized geometry)
# E_form (uncorrected)	-3032	meV per atom
data_DyNbO4
_symmetry_space_group_name_H-M 'P 1'
_symmetry_Int_Tables_number 1
_symmetry_space_group_name_Hall 'P 1'
_cell_length_a 3.985
_cell_length_b 7.024
_cell_length_c 7.134
_cell_angle_alpha 105.66
_cell_angle_beta 90.00
_cell_angle_gamma 106.48
loop_
_atom_site_label
_atom_site_fract_x
_atom_site_fract_y
_atom_site_fract_z
O1 0.624 0.248 0.690
O2 0.759 0.518 0.362
O3 0.376 0.752 0.310
O4 0.133 0.266 0.972
O5 0.050 0.099 0.369
O6 0.950 0.901 0.631
O7 0.241 0.482 0.638
O8 0.867 0.734 0.028
Dy1 0.196 0.392 0.288
Dy2 0.804 0.608 0.712
Nb1 0.902 0.804 0.295
Nb2 0.098 0.196 0.705

No. 14
# SrLi2Ge2 (GGA-PBEsol, optimized geometry)
# formation energy from the elements	-0.47	eV per atom
data_SrLi2Ge2
_symmetry_space_group_name_H-M 'P 1'
_symmetry_Int_Tables_number 1
_symmetry_space_group_name_Hall 'P 1'
_cell_length_a 4.339
_cell_length_b 4.339
_cell_length_c 6.379
_cell_angle_alpha 109.88
_cell_angle_beta 109.88
_cell_angle_gamma 90.00
loop_
_atom_site_label
_atom_site_fract_x
_atom_site_fract_y
_atom_site_fract_z
Ge1 0.392 0.392 0.785
Ge2 0.608 0.608 0.215
Sr1 0.000 0.000 0.000
Li1 0.750 0.250 0.500
Li2 0.250 0.750 0.500

No. 15
# LiNdMo2O8 (GGA-PBEsol, optimized geometry)
# energy above the most stable polymorph in this dataset	0	meV/atom
# E_form (uncorrected)	-2411	meV per atom
data_LiNdMo2O8
_symmetry_space_group_name_H-M 'P 1'
_symmetry_Int_Tables_number 1
_symmetry_space_group_name_Hall 'P 1'
_cell_length_a 5.205
_cell_length_b 5.205
_cell_length_c 6.701
_cell_angle_alpha 112.85
_cell_angle_beta 112.85
_cell_angle_gamma 90.00
loop_
_atom_site_label
_atom_site_fract_x
_atom_site_fract_y
_atom_site_fract_z
O1 0.816 0.924 0.325
O2 0.076 0.491 0.675
O3 0.159 0.065 0.829
O4 0.509 0.401 0.325
O5 0.670 0.763 0.829
O6 0.599 0.184 0.675
O7 0.237 0.841 0.171
O8 0.935 0.330 0.171
Mo1 0.750 0.250 0.500
Mo2 0.000 0.000 0.000
Li1 0.250 0.750 0.500
Nd1 0.500 0.500 0.000

No. 16
# TlCl3 (GGA-PBEsol, optimized geometry)
# E_form (uncorrected)	-657	meV per atom
data_TlCl3
_symmetry_space_group_name_H-M 'P 1'
_symmetry_Int_Tables_number 1
_symmetry_space_group_name_Hall 'P 1'
_cell_length_a 6.603
_cell_length_b 6.603
_cell_length_c 6.354
_cell_angle_alpha 99.57
_cell_angle_beta 99.57
_cell_angle_gamma 119.87
loop_
_atom_site_label
_atom_site_fract_x
_atom_site_fract_y
_atom_site_fract_z
Cl1 0.069 0.421 0.754
Cl2 0.224 0.224 0.250
Cl3 0.776 0.776 0.750
Cl4 0.421 0.069 0.754
Cl5 0.931 0.579 0.246
Cl6 0.579 0.931 0.246
Tl1 0.166 0.834 0.000
Tl2 0.834 0.166 0.000

No. 17
# Sc2TaTc (GGA-PBEsol, optimized geometry)
# formation energy from the elements	-0.12	eV per atom
# energy above the most stable polymorph in this dataset	47	meV/atom
data_Sc2TaTc
_symmetry_space_group_name_H-M 'P 1'
_symmetry_Int_Tables_number 1
_symmetry_space_group_name_Hall 'P 1'
_cell_length_a 3.274
_cell_length_b 4.801
_cell_length_c 5.579
_cell_angle_alpha 115.48
_cell_angle_beta 107.07
_cell_angle_gamma 90.00
loop_
_atom_site_label
_atom_site_fract_x
_atom_site_fract_y
_atom_site_fract_z
Tc1 0.237 0.737 0.473
Sc1 0.754 0.254 0.508
Sc2 0.970 0.970 0.940
Ta1 0.540 0.540 0.079

No. 18
# Tl2OsF (GGA-PBEsol, optimized geometry)
# E_form (uncorrected)	334	meV per atom
data_Tl2OsF
_symmetry_space_group_name_H-M 'P 1'
_symmetry_Int_Tables_number 1
_symmetry_space_group_name_Hall 'P 1'
_cell_length_a 4.650
_cell_length_b 4.650
_cell_length_c 4.650
_cell_angle_alpha 60.00
_cell_angle_beta 60.00
_cell_angle_gamma 60.00
loop_
_atom_site_label
_atom_site_fract_x
_atom_site_fract_y
_atom_site_fract_z
Tl1 0.250 0.250 0.250
Tl2 0.750 0.750 0.750
F1 0.000 0.000 0.000
Os1 0.500 0.500 0.500

No. 19
# Cr2HgW (GGA-PBEsol, optimized geometry)
# formation energy from the elements	0.48	eV per atom
data_Cr2HgW
_symmetry_space_group_name_H-M 'P 1'
_symmetry_Int_Tables_number 1
_symmetry_space_group_name_Hall 'P 1'
_cell_length_a 2.692
_cell_length_b 2.692
_cell_length_c 8.612
_cell_angle_alpha 90.00
_cell_angle_beta 90.00
_cell_angle_gamma 109.36
loop_
_atom_site_label
_atom_site_fract_x
_atom_site_fract_y
_atom_site_fract_z
W1 0.500 0.500 0.000
Cr1 0.000 0.000 0.769
Cr2 0.000 0.000 0.231
Hg1 0.500 0.500 0.500

No. 20
# SrIrPt2 (GGA-PBEsol, optimized geometry)
# formation energy from the elements	0.17	eV per atom
# energy above the most stable polymorph in this dataset	139	meV/atom
data_SrIrPt2
_symmetry_space_group_name_H-M 'P 1'
_symmetry_Int_Tables_number 1
_symmetry_space_group_name_Hall 'P 1'
_cell_length_a 4.165
_cell_length_b 4.165
_cell_length_c 5.020
_cell_angle_alpha 114.51
_cell_angle_beta 114.51
_cell_angle_gamma 90.00
loop_
_atom_site_label
_atom_site_fract_x
_atom_site_fract_y
_atom_site_fract_z
Sr1 0.500 0.500 0.000
Pt1 0.750 0.250 0.500
Pt2 0.250 0.750 0.500
Ir1 0.000 0.000 0.000

No. 21
# Te3RuAu (GGA-PBEsol, optimized geometry)
# E_form (uncorrected)	712	meV per atom
data_Te3RuAu
_symmetry_space_group_name_H-M 'P 1'
_symmetry_Int_Tables_number 1
_symmetry_space_group_name_Hall 'P 1'
_cell_length_a 5.094
_cell_length_b 5.094
_cell_length_c 5.094
_cell_angle_alpha 90.00
_cell_angle_beta 90.00
_cell_angle_gamma 90.00
loop_
_atom_site_label
_atom_site_fract_x
_atom_site_fract_y
_atom_site_fract_z
Te1 0.000 0.000 0.500
Te2 0.000 0.500 0.000
Te3 0.500 0.000 0.000
Au1 0.500 0.500 0.500
Ru1 0.000 0.000 0.000

No. 22
# ZrTa2CrPd (GGA-PBEsol, optimized geometry)
# formation energy from the elements	1.26	eV per atom
data_ZrTa2CrPd
_symmetry_space_group_name_H-M 'P 1'
_symmetry_Int_Tables_number 1
_symmetry_space_group_name_Hall 'P 1'
_cell_length_a 4.642
_cell_length_b 4.784
_cell_length_c 4.784
_cell_angle_alpha 90.00
_cell_angle_beta 90.00
_cell_angle_gamma 90.00
loop_
_atom_site_label
_atom_site_fract_x
_atom_site_fract_y
_atom_site_fract_z
Pd1 0.000 0.000 0.000
Ta1 0.000 0.000 0.500
Ta2 0.000 0.500 0.000
Zr1 0.500 0.500 0.500
Cr1 0.500 0.000 0.000

No. 23
# BaSi2Os (GGA-PBEsol, optimized geometry)
# E_form (uncorrected)	147	meV per atom
data_BaSi2Os
_symmetry_space_group_name_H-M 'P 1'
_symmetry_Int_Tables_number 1
_symmetry_space_group_name_Hall 'P 1'
_cell_length_a 4.091
_cell_length_b 5.307
_cell_length_c 5.307
_cell_angle_alpha 71.85
_cell_angle_beta 67.33
_cell_angle_gamma 67.33
loop_
_atom_site_label
_atom_site_fract_x
_atom_site_fract_y
_atom_site_fract_z
Ba1 0.500 0.000 0.000
Si1 0.342 0.658 0.658
Si2 0.658 0.342 0.342
Os1 0.000 0.500 0.500

No. 24
# TiTeI2 (GGA-PBEsol, optimized geometry)
# E_form (uncorrected)	258	meV per atom
data_TiTeI2
_symmetry_space_group_name_H-M 'P 1'
_symmetry_Int_Tables_number 1
_symmetry_space_group_name_Hall 'P 1'
_cell_length_a 5.247
_cell_length_b 5.247
_cell_length_c 5.247
_cell_angle_alpha 60.00
_cell_angle_beta 60.00
_cell_angle_gamma 60.00
loop_
_atom_site_label
_atom_site_fract_x
_atom_site_fract_y
_atom_site_fract_z
Ti1 0.000 0.000 0.000
I1 0.750 0.750 0.750
I2 0.250 0.250 0.250
Te1 0.500 0.500 0.500

No. 25
# BeCd2W (GGA-PBEsol, optimized geometry)
# formation energy from the elements	0.60	eV per atom
data_BeCd2W
_symmetry_space_group_name_H-M 'P 1'
_symmetry_Int_Tables_number 1
_symmetry_space_group_name_Hall 'P 1'
_cell_length_a 2.797
_cell_length_b 4.844
_cell_length_c 5.507
_cell_angle_alpha 116.09
_cell_angle_beta 104.71
_cell_angle_gamma 90.00
loop_
_atom_site_label
_atom_site_fract_x
_atom_site_fract_y
_atom_site_fract_z
Be1 0.240 0.740 0.480
Cd1 0.976 0.976 0.953
Cd2 0.752 0.252 0.505
W1 0.531 0.531 0.063